1.
The following is a PBE calculation of Er3ThIn after structural relaxation, from the Alexandria database.

## Properties
- Size of the total moment: 0.000 μB/atom
- Calculated formation energy: -0.12 eV per atom
- Energy above the most stable polymorph in this dataset: 0 meV per atom
- Total DFT energy (no corrections): -4.89 eV per atom

a = 4.870 Å, b = 25.024 Å, c = 4.808 Å
α = 90.00°, β = 90.00°, γ = 90.00°
Space group Cmcm (No. 63)
Asymmetric unit:
Er (0.000, 0.050, 0.250) [4 per cell]
Er (0.000, 0.251, 0.250) [4 per cell]
Er (0.000, 0.447, 0.250) [4 per cell]
Th (0.000, 0.150, 0.750) [4 per cell]
In (0.000, 0.349, 0.750) [4 per cell]

---

2.
The following is a PBE calculation of PrSm2Tl after structural relaxation, from the Alexandria database.

## Properties
- Size of the total moment: 0.334 μB/atom
- Calculated formation energy: -0.04 eV per atom
- Energy above the most stable polymorph in this dataset: 163 meV per atom
- Total DFT energy (no corrections): -4.18 eV per atom

a = 7.910 Å, b = 7.910 Å, c = 7.910 Å
α = 90.00°, β = 90.00°, γ = 90.00°
Space group Fm-3m (No. 225)
Asymmetric unit:
Pr (0.000, 0.000, 0.000) [4 per cell]
Sm (0.250, 0.250, 0.250) [8 per cell]
Tl (0.000, 0.000, 0.500) [4 per cell]

---

3.
The following is a PBE calculation of Tb2PmHg7 after structural relaxation, from the Alexandria database.

## Properties
- Size of the total moment: 0.000 μB/atom
- Calculated formation energy: -0.28 eV per atom
- Total DFT energy (no corrections): -1.89 eV per atom

a = 5.0713 Å, b = 5.0713 Å, c = 11.8595 Å
α = 90.00°, β = 90.00°, γ = 120.00°
Space group P3m1 (No. 156)
Asymmetric unit:
Tb (0.0000, 0.0000, 0.0000) [1 per cell]
Tb (0.3333, 0.6667, 0.7786) [1 per cell]
Pm (0.6667, 0.3333, 0.3333) [1 per cell]
Hg (0.0000, 0.0000, 0.2427) [1 per cell]
Hg (0.0000, 0.0000, 0.4931) [1 per cell]
Hg (0.0000, 0.0000, 0.7387) [1 per cell]
Hg (0.3333, 0.6667, 0.1336) [1 per cell]
Hg (0.3333, 0.6667, 0.4462) [1 per cell]
Hg (0.6667, 0.3333, 0.6241) [1 per cell]
Hg (0.6667, 0.3333, 0.9000) [1 per cell]

---

4.
The following is a PBE calculation of Mg4CdPtRh2 after structural relaxation, from the Alexandria database.

## Properties
- Size of the total moment: 0.000 μB/atom
- Calculated formation energy: -0.51 eV per atom
- Total DFT energy (no corrections): -4.02 eV per atom

a = 4.5263 Å, b = 4.5263 Å, c = 22.2122 Å
α = 90.00°, β = 90.00°, γ = 120.00°
Space group R-3m (No. 166, hexagonal axes)
Asymmetric unit:
Mg (0.0000, 0.0000, 0.1196) [6 per cell]
Mg (0.0000, 0.0000, 0.3698) [6 per cell]
Cd (0.0000, 0.0000, 0.5000) [3 per cell]
Pt (0.0000, 0.0000, 0.0000) [3 per cell]
Rh (0.0000, 0.0000, 0.2470) [6 per cell]

---

5.
The following is a PBE calculation of RbBe2S2 after structural relaxation, from the Alexandria database.

## Properties
- Size of the total moment: 0.000 μB/atom
- Energy above the most stable polymorph in this dataset: 392 meV per atom
- Total DFT energy (no corrections): -3.30 eV per atom
- Raw formation energy: 0.04 eV per atom

a = 7.699 Å, b = 7.699 Å, c = 3.179 Å
α = 90.00°, β = 90.00°, γ = 90.00°
Space group P4/mbm (No. 127)
Asymmetric unit:
Rb (0.000, 0.000, 0.000) [2 per cell]
Be (0.090, 0.410, 0.000) [4 per cell]
S (0.132, 0.632, 0.500) [4 per cell]

---

6.
The following is a PBE calculation of TlCd2GaPb after structural relaxation, from the Alexandria database.

## Properties
- Size of the total moment: 0.000 μB/atom
- Calculated formation energy: 0.28 eV per atom
- Total DFT energy (no corrections): -1.90 eV per atom

a = 5.183 Å, b = 5.183 Å, c = 5.581 Å
α = 90.00°, β = 90.00°, γ = 90.00°
Space group P4/mmm (No. 123)
Asymmetric unit:
Tl (0.000, 0.000, 0.000) [1 per cell]
Cd (0.000, 0.500, 0.500) [2 per cell]
Ga (0.000, 0.000, 0.500) [1 per cell]
Pb (0.500, 0.500, 0.000) [1 per cell]